Record 1
An optimized crystal structure of Sc2Al2Ga, computed with PBE.

## Properties
* density of states at the Fermi level: 3.1 states/eV/f.u.
* E above lowest polymorph: 67.1 meV per atom
* calculated total energy: -50.84 eV per cell
* E_form: -0.449 eV/atom
* calculated density: 3.66 g cm⁻³

a = 6.6994 Å, b = 6.6994 Å, c = 4.3201 Å
α = 90.00°, β = 90.00°, γ = 90.00°
Positions (direct):
Al 0.6352 0.1352 0.0000
Sc 0.6666 0.8334 0.5000
Sc 0.3334 0.1666 0.5000
Sc 0.8334 0.3334 0.5000
Ga 0.5000 0.5000 0.0000
Al 0.3648 0.8648 0.0000
Al 0.8648 0.6352 0.0000
Ga 0.0000 0.0000 0.0000
Al 0.1352 0.3648 0.0000
Sc 0.1666 0.6666 0.5000

---

Record 2
An optimized crystal structure of SrScAl2Ga2, computed with PBE.

## Properties
* density of states at the Fermi level: 2.7 states/eV/f.u.
* calculated total energy: -24.04 eV per cell
* E_form: -0.415 eV/atom
* calculated density: 4.06 g cm⁻³

a = 4.3807 Å, b = 4.3807 Å, c = 8.0249 Å
α = 90.00°, β = 90.00°, γ = 120.00°
Positions (direct):
Al 0.6667 0.3333 0.2954
Sr 0.0000 0.0000 0.0000
Ga 0.3333 0.6667 0.2930
Al 0.3333 0.6667 0.7046
Sc 0.0000 0.0000 0.5000
Ga 0.6667 0.3333 0.7070

---

Record 3
An optimized crystal structure of TbScAlGa, computed with PBE.

## Properties
* density of states at the Fermi level: 1.8 states/eV/f.u.
* calculated total energy: -19.64 eV per cell
* E_form: -0.477 eV/atom
* calculated density: 5.84 g cm⁻³

a = 4.9430 Å, b = 4.9430 Å, c = 4.9430 Å
α = 60.00°, β = 60.00°, γ = 60.00°
Positions (direct):
Al 0.5000 0.5000 0.5000
Ga 0.0000 0.0000 0.0000
Sc 0.2500 0.2500 0.2500
Tb 0.7500 0.7500 0.7500

---

Record 4
An optimized crystal structure of ThScAlGa2, computed with PBE.

## Properties
* density of states at the Fermi level: 2.8 states/eV/f.u.
* calculated total energy: -26.19 eV per cell
* E_form: -0.529 eV/atom
* calculated density: 6.86 g cm⁻³

a = 4.2756 Å, b = 4.2756 Å, c = 6.6012 Å
α = 108.90°, β = 108.90°, γ = 90.00°
Positions (direct):
Ga 0.3935 0.3935 0.7869
Th 0.0000 0.0000 0.0000
Sc 0.7500 0.2500 0.5000
Al 0.2500 0.7500 0.5000
Ga 0.6065 0.6065 0.2131

---

Record 5
An optimized crystal structure of ThScAl2Ga2, computed with PBE.

## Properties
* density of states at the Fermi level: 3.4 states/eV/f.u.
* calculated total energy: -30.37 eV per cell
* E_form: -0.513 eV/atom
* calculated density: 6.42 g cm⁻³

a = 4.4262 Å, b = 4.4262 Å, c = 7.1716 Å
α = 90.00°, β = 90.00°, γ = 120.00°
Positions (direct):
Sc 0.0000 0.0000 0.5000
Al 0.3333 0.6667 0.7217
Ga 0.3333 0.6667 0.2817
Th 0.0000 0.0000 0.0000
Ga 0.6667 0.3333 0.7183
Al 0.6667 0.3333 0.2783

---

Record 6
An optimized crystal structure of ThScAlGa, computed with PBE.

## Properties
* density of states at the Fermi level: 4.3 states/eV/f.u.
* calculated total energy: -21.95 eV per cell
* E_form: -0.358 eV/atom
* calculated density: 6.82 g cm⁻³

a = 5.0480 Å, b = 5.0480 Å, c = 5.0480 Å
α = 60.00°, β = 60.00°, γ = 60.00°
Positions (direct):
Ga 0.2500 0.2500 0.2500
Al 0.7500 0.7500 0.7500
Sc 0.5000 0.5000 0.5000
Th 0.0000 0.0000 0.0000

---

Record 7
An optimized crystal structure of ScTiAlGa, computed with PBE.

## Properties
* density of states at the Fermi level: 4.2 states/eV/f.u.
* calculated total energy: -22.41 eV per cell
* E_form: -0.354 eV/atom
* calculated density: 4.50 g cm⁻³

a = 4.6251 Å, b = 4.6251 Å, c = 4.6251 Å
α = 60.00°, β = 60.00°, γ = 60.00°
Each line ends with the local moment (μB).
Positions (direct):
Al 0.0000 0.0000 0.0000  -0.01
Ga 0.5000 0.5000 0.5000  -0.01
Ti 0.2500 0.2500 0.2500  0.46
Sc 0.7500 0.7500 0.7500  0.05

---

Record 8
An optimized crystal structure of Tm2Sc2AlGa4, computed with PBE.

## Properties
* density of states at the Fermi level: 7.6 states/eV/f.u.
* calculated total energy: -38.63 eV per cell
* E_form: -0.130 eV/atom
* calculated density: 6.07 g cm⁻³

a = 6.4852 Å, b = 6.4852 Å, c = 6.4852 Å
α = 95.40°, β = 116.93°, γ = 116.93°
Positions (direct):
Ga 0.0000 0.7460 0.2540
Ga 0.4920 0.7460 0.7460
Tm 0.0000 0.6909 0.6909
Sc 0.5000 0.7500 0.2500
Ga 0.0000 0.2540 0.7460
Tm 0.0000 0.3091 0.3091
Ga 0.5080 0.2540 0.2540
Sc 0.5000 0.2500 0.7500
Al 0.0000 0.0000 0.0000